Model P:
Material: ReRuPb2
Method: DFT, PBE
State: relaxed

Computed properties:
- density (Mg/m³) = 13.17
- crystal system = tetragonal

Lattice parameters (Å, degrees): 3.0372 3.0372 9.5882 90.00 90.00 90.00
Closest atoms and distances in Å follow each position.
Element x y z (fractional)
Re: 0.0000 0.0000 0.0000  4 Ru 2.61
Ru: 0.5000 0.5000 0.8459  4 Re 2.61
Pb: 0.0000 0.0000 0.6155  4 Pb 3.04, 4 Ru 3.08
Pb: 0.5000 0.5000 0.2393  4 Pb 3.04, 4 Re 3.14

=====

Model Q:
Material: ReRuPb2
Method: DFT, PBE
State: relaxed

Computed properties:
- density (Mg/m³) = 14.64
- crystal system = monoclinic

Lattice parameters (Å, degrees): 3.1276 4.4577 5.7156 90.00 92.63 90.00
Closest atoms and distances in Å follow each position.
Element x y z (fractional)
Re: 0.0000 0.0000 0.0000  4 Pb 2.80, 2 Re 3.13
Ru: 0.5000 0.0000 0.5000  4 Pb 2.76
Pb: 0.2587 0.5000 0.7470  2 Ru 2.76, 2 Re 2.80
Pb: 0.7413 0.5000 0.2530  2 Ru 2.76, 2 Re 2.80

=====

Each structure's energy above the most stable one, in meV/atom: model P 0; model Q 693.